Entry 1:
VASP calculation (GGA-PBE) on Sr6PPd2I3 after structural relaxation.

Computed properties:
DOS at the Fermi energy = 0.562 states/eV per atom
E_form (uncorrected) = -1.075 eV/atom

Cell lengths 7.8390, 7.8390, 8.5108 Å; angles 98.90, 98.90, 120.00 degrees
Element x y z (fractional)
Sr (0.9340, 0.6073, 0.8034)
Sr (0.7394, 0.7394, 0.1973)
Sr (0.0660, 0.3927, 0.1966)
Sr (0.6073, 0.9340, 0.8034)
Sr (0.2606, 0.2606, 0.8027)
Sr (0.3927, 0.0660, 0.1966)
P (0.0000, 0.0000, 0.0000)
Pd (0.3335, 0.6665, 0.0000)
Pd (0.6665, 0.3335, 0.0000)
I (0.1665, 0.8335, 0.5000)
I (0.8335, 0.1665, 0.5000)
I (0.5000, 0.5000, 0.5000)

=====

Entry 2:
VASP calculation (GGA-PBE) on Tb5ZrSb6 after structural relaxation.

Computed properties:
DOS at the Fermi energy = 0.233 states/eV per atom
E_form (uncorrected) = -1.052 eV/atom

Cell lengths 7.5389, 7.5389, 7.5336 Å; angles 99.64, 99.64, 119.98 degrees
Element x y z (fractional)
Sb (0.4050, 0.0804, 0.2430)
Sb (0.9196, 0.5950, 0.7570)
Sb (0.2407, 0.2407, 0.7526)
Sb (0.7593, 0.7593, 0.2474)
Sb (0.0804, 0.4050, 0.2430)
Sb (0.5950, 0.9196, 0.7570)
Tb (0.8291, 0.1709, 0.5000)
Tb (0.6652, 0.3348, 0.0000)
Tb (0.5000, 0.5000, 0.5000)
Tb (0.3348, 0.6652, 0.0000)
Tb (0.1709, 0.8291, 0.5000)
Zr (0.0000, 0.0000, 0.0000)

=====

Entry 3:
VASP calculation (GGA-PBE) on Tb3AlTl2 after structural relaxation.

Computed properties:
DOS at the Fermi energy = 0.588 states/eV per atom
calculated formation energy = -35 kJ/mol of atoms

Cell lengths 3.6960, 3.6960, 11.5678 Å; angles 90.00, 90.00, 90.00 degrees
Element x y z (fractional)
Tb (0.0000, 0.0000, 0.0000)
Tb (0.0000, 0.0000, 0.6540)
Tb (0.0000, 0.0000, 0.3460)
Al (0.5000, 0.5000, 0.5000)
Tl (0.5000, 0.5000, 0.8285)
Tl (0.5000, 0.5000, 0.1715)

=====

Entry 4:
VASP calculation (GGA-PBE) on Pu2Ge6Pd21 after structural relaxation.

Computed properties:
DOS at the Fermi energy = 1.566 states/eV per atom
calculated formation energy = -45 kJ/mol of atoms

Cell lengths 8.8176, 8.8176, 8.8176 Å; angles 60.00, 60.00, 60.00 degrees
Site moments in Bohr magnetons follow the coordinates.
Element x y z (fractional)
Pu (0.7500, 0.7500, 0.7500)  5.05
Pu (0.2500, 0.2500, 0.2500)  5.05
Ge (0.2655, 0.7345, 0.2655)  -0.01
Ge (0.7345, 0.2655, 0.2655)  -0.01
Ge (0.7345, 0.7345, 0.2655)  -0.01
Ge (0.7345, 0.2655, 0.7345)  -0.01
Ge (0.2655, 0.7345, 0.7345)  -0.01
Ge (0.2655, 0.2655, 0.7345)  -0.01
Pd (0.0000, 0.0000, 0.0000)  -0.02
Pd (0.6178, 0.6178, 0.1465)  -0.04
Pd (0.6178, 0.6178, 0.6178)  -0.04
Pd (0.6178, 0.1465, 0.6178)  -0.04
Pd (0.1465, 0.6178, 0.6178)  -0.04
Pd (0.3822, 0.3822, 0.8535)  -0.04
Pd (0.3822, 0.3822, 0.3822)  -0.04
Pd (0.3822, 0.8535, 0.3822)  -0.04
Pd (0.8535, 0.3822, 0.3822)  -0.04
Pd (0.6532, 0.0000, 0.3468)  -0.04
Pd (0.0000, 0.6532, 0.3468)  -0.04
Pd (0.0000, 0.0000, 0.3468)  -0.04
Pd (0.0000, 0.6532, 0.0000)  -0.04
Pd (0.6532, 0.0000, 0.0000)  -0.04
Pd (0.0000, 0.0000, 0.6532)  -0.04
Pd (0.0000, 0.3468, 0.0000)  -0.04
Pd (0.0000, 0.3468, 0.6532)  -0.04
Pd (0.6532, 0.3468, 0.0000)  -0.04
Pd (0.3468, 0.0000, 0.6532)  -0.04
Pd (0.3468, 0.0000, 0.0000)  -0.04
Pd (0.3468, 0.6532, 0.0000)  -0.04

=====

Entry 5:
VASP calculation (GGA-PBE) on Rb2HgI after structural relaxation.

Computed properties:
ΔE to the lowest computed polymorph = 0.00 eV per formula unit
DOS at the Fermi energy = 0.383 states/eV per atom
E_form (uncorrected) = -0.836 eV/atom

Cell lengths 5.2898, 5.2328, 14.9886 Å; angles 100.05, 90.00, 90.00 degrees
Element x y z (fractional)
Rb (0.7500, 0.6840, 0.3680)
Rb (0.2500, 0.3160, 0.6320)
Rb (0.7500, 0.9356, 0.8713)
Rb (0.2500, 0.0644, 0.1287)
Hg (0.2500, 0.4731, 0.9462)
Hg (0.7500, 0.5269, 0.0538)
I (0.2500, 0.1898, 0.3797)
I (0.7500, 0.8102, 0.6203)

=====

Entry 6:
VASP calculation (GGA-PBE) on La3AlCu2 after structural relaxation.

Computed properties:
ΔE to the lowest computed polymorph = 0.00 eV per formula unit
DOS at the Fermi energy = 0.928 states/eV per atom
calculated formation energy = -16 kJ/mol of atoms

Cell lengths 6.0766, 11.2623, 9.5184 Å; angles 90.00, 108.72, 90.00 degrees
Element x y z (fractional)
La (0.3726, 0.8696, 0.0072)
La (0.1274, 0.3696, 0.4928)
La (0.6274, 0.1304, 0.9928)
La (0.8726, 0.6304, 0.5072)
La (0.3429, 0.5436, 0.1243)
La (0.1571, 0.0436, 0.3757)
La (0.6571, 0.4564, 0.8757)
La (0.8429, 0.9564, 0.6243)
La (0.9235, 0.7649, 0.1882)
La (0.5765, 0.2649, 0.3118)
La (0.0765, 0.2351, 0.8118)
La (0.4235, 0.7351, 0.6882)
Al (0.4584, 0.7945, 0.3558)
Al (0.0416, 0.2945, 0.1442)
Al (0.5416, 0.2055, 0.6442)
Al (0.9584, 0.7055, 0.8558)
Cu (0.6077, 0.9927, 0.2877)
Cu (0.8923, 0.4927, 0.2123)
Cu (0.3923, 0.0073, 0.7123)
Cu (0.1077, 0.5073, 0.7877)
Cu (0.3457, 0.5798, 0.4251)
Cu (0.1543, 0.0798, 0.0749)
Cu (0.6543, 0.4202, 0.5749)
Cu (0.8457, 0.9202, 0.9251)

=====

Entry 7:
VASP calculation (GGA-PBE) on CsTlCuBr3 after structural relaxation.

Computed properties:
DOS at the Fermi energy = 0.000 states/eV per atom
E_form (uncorrected) = -0.919 eV/atom

Cell lengths 6.1288, 9.7189, 9.1011 Å; angles 117.76, 90.00, 108.38 degrees
Element x y z (fractional)
Cs (0.3372, 0.6744, 0.8382)
Cs (0.6628, 0.3256, 0.1618)
Tl (0.6408, 0.2817, 0.6400)
Tl (0.3592, 0.7183, 0.3600)
Cu (0.0003, 0.0007, 0.2686)
Cu (0.9997, 0.9993, 0.7314)
Br (0.8558, 0.7116, 0.1182)
Br (0.8552, 0.7103, 0.5931)
Br (0.5001, 0.0003, 0.2717)
Br (0.1448, 0.2897, 0.4069)
Br (0.4999, 0.9997, 0.7283)
Br (0.1442, 0.2884, 0.8818)

=====

Entry 8:
VASP calculation (GGA-PBE) on PmPuPaIn after structural relaxation.

Computed properties:
DOS at the Fermi energy = 2.432 states/eV per atom
calculated formation energy = 12 kJ/mol of atoms

Cell lengths 5.3207, 5.3207, 5.3207 Å; angles 60.00, 60.00, 60.00 degrees
Site moments in Bohr magnetons follow the coordinates.
Element x y z (fractional)
In (0.5000, 0.5000, 0.5000)  -0.02
Pa (0.0000, 0.0000, 0.0000)  1.09
Pm (0.7500, 0.7500, 0.7500)  0.04
Pu (0.2500, 0.2500, 0.2500)  5.42

=====

Entry 9:
VASP calculation (GGA-PBE) on TeBrCl after structural relaxation.

Computed properties:
ΔE to the lowest computed polymorph = 2.68 eV per formula unit
DOS at the Fermi energy = 1.282 states/eV per atom
E_form (uncorrected) = 0.525 eV/atom

Cell lengths 5.0761, 5.0761, 5.0761 Å; angles 60.00, 60.00, 60.00 degrees
Element x y z (fractional)
Te (0.5000, 0.5000, 0.5000)
Br (0.2500, 0.2500, 0.2500)
Cl (0.0000, 0.0000, 0.0000)

=====

Entry 10:
VASP calculation (GGA-PBE) on Na2CuGeB after structural relaxation.

Computed properties:
DOS at the Fermi energy = 0.320 states/eV per atom
calculated formation energy = 96 kJ/mol of atoms

Cell lengths 5.2105, 4.4221, 5.2105 Å; angles 90.00, 90.00, 90.00 degrees
Element x y z (fractional)
Na (0.0000, 0.0000, 0.5000)
Na (0.5000, 0.0000, 0.0000)
Ge (0.0000, 0.5000, 0.0000)
B (0.5000, 0.5000, 0.5000)
Cu (0.0000, 0.0000, 0.0000)

=====

Entry 11:
VASP calculation (GGA-PBE) on BaAg3 after structural relaxation.

Computed properties:
ΔE to the lowest computed polymorph = 0.07 eV per formula unit
DOS at the Fermi energy = 0.428 states/eV per atom
calculated formation energy = -17 kJ/mol of atoms

Cell lengths 4.8452, 6.2859, 7.2874 Å; angles 90.00, 90.00, 90.00 degrees
Element x y z (fractional)
Ag (0.5000, 0.8222, 0.0000)
Ag (0.0000, 0.1778, 0.5000)
Ag (0.0000, 0.8764, 0.2014)
Ag (0.0000, 0.8764, 0.7986)
Ag (0.5000, 0.1236, 0.7014)
Ag (0.5000, 0.1236, 0.2986)
Ba (0.0000, 0.3645, 0.0000)
Ba (0.5000, 0.6355, 0.5000)

=====

Entry 12:
VASP calculation (GGA-PBE) on BaSn9Pb2 after structural relaxation.

Computed properties:
DOS at the Fermi energy = 0.465 states/eV per atom
calculated formation energy = -6 kJ/mol of atoms

Cell lengths 6.4330, 6.4330, 11.0583 Å; angles 73.09, 73.09, 60.00 degrees
Element x y z (fractional)
Ba (0.0000, 0.0000, 0.0000)
Sn (0.6624, 0.6624, 0.0128)
Sn (0.3376, 0.3376, 0.9872)
Sn (0.5000, 0.5000, 0.5000)
Sn (0.4092, 0.4092, 0.2568)
Sn (0.9249, 0.4092, 0.2568)
Sn (0.4092, 0.9249, 0.2568)
Sn (0.5908, 0.5908, 0.7432)
Sn (0.5908, 0.0751, 0.7432)
Sn (0.0751, 0.5908, 0.7432)
Pb (0.8562, 0.8562, 0.4315)
Pb (0.1438, 0.1438, 0.5685)

=====

Values for total magnetic moment, μB/atom, ordered as above
0.0000, 0.0000, 0.0000, 0.3276, 0.0000, 0.0000, 0.0000, 1.7814, 0.0001, 0.0000, 0.0000, 0.0000